Record 1
Here is crystalline Ce8HgOs2 at its relaxed geometry from Alexandria via LeMat-Bulk. Energies are from PBE.

## Properties
The magnetic moment comes out at 3.1 μB per formula unit. Its energy relative to the lowest polymorph listed for this composition is 0.028 eV/atom. As for the crystal system: monoclinic.

Cell lengths 5.454, 8.366, 7.773 Å; angles 57.44, 81.75, 74.54 degrees
Element x y z (fractional)
Ce (0.938, 0.096, 0.218)
Ce (0.938, 0.314, 0.782)
Ce (0.314, 0.419, 0.000)
Ce (0.500, 0.750, 0.500)
Ce (0.500, 0.250, 0.500)
Ce (0.686, 0.581, 0.000)
Ce (0.062, 0.686, 0.218)
Ce (0.062, 0.904, 0.782)
Hg (0.500, 0.000, 0.000)
Os (0.000, 0.291, 0.418)
Os (0.000, 0.709, 0.582)


Record 2
Here is crystalline Ce5Hg2Os2 at its relaxed geometry from Alexandria via LeMat-Bulk. Energies are from PBE.

## Properties
The magnetic moment comes out at 2.4 μB per formula unit. The total energy comes out at -6.119 eV/atom. As for the crystal system: orthorhombic.

Cell lengths 7.787, 7.618, 8.850 Å; angles 115.49, 90.00, 90.00 degrees
Element x y z (fractional)
Ce (0.000, 0.000, 0.000)
Ce (0.500, 0.500, 0.000)
Ce (0.831, 0.785, 0.232)
Ce (0.169, 0.447, 0.232)
Ce (0.331, 0.947, 0.232)
Ce (0.669, 0.285, 0.232)
Ce (0.169, 0.215, 0.768)
Ce (0.831, 0.553, 0.768)
Ce (0.669, 0.053, 0.768)
Ce (0.331, 0.715, 0.768)
Hg (0.000, 0.217, 0.435)
Hg (0.500, 0.717, 0.435)
Hg (0.000, 0.783, 0.565)
Hg (0.500, 0.283, 0.565)
Os (0.635, 0.864, 0.000)
Os (0.365, 0.136, 0.000)
Os (0.135, 0.636, 0.000)
Os (0.865, 0.364, 0.000)


Please write out number 2 again, unchanged.
Here is crystalline Ce5Hg2Os2 at its relaxed geometry from Alexandria via LeMat-Bulk. Energies are from PBE.

## Properties
The magnetic moment comes out at 2.4 μB per formula unit. The total energy comes out at -6.119 eV/atom. As for the crystal system: orthorhombic.

Cell lengths 7.787, 7.618, 8.850 Å; angles 115.49, 90.00, 90.00 degrees
Element x y z (fractional)
Ce (0.000, 0.000, 0.000)
Ce (0.500, 0.500, 0.000)
Ce (0.831, 0.785, 0.232)
Ce (0.169, 0.447, 0.232)
Ce (0.331, 0.947, 0.232)
Ce (0.669, 0.285, 0.232)
Ce (0.169, 0.215, 0.768)
Ce (0.831, 0.553, 0.768)
Ce (0.669, 0.053, 0.768)
Ce (0.331, 0.715, 0.768)
Hg (0.000, 0.217, 0.435)
Hg (0.500, 0.717, 0.435)
Hg (0.000, 0.783, 0.565)
Hg (0.500, 0.283, 0.565)
Os (0.635, 0.864, 0.000)
Os (0.365, 0.136, 0.000)
Os (0.135, 0.636, 0.000)
Os (0.865, 0.364, 0.000)


Question: The lowest magnetic moment belongs to which entry?
Answer: Ce5Hg2Os2


Question: magnetic moment of number 2 (Ce5Hg2Os2)?
Answer: 2.4 μB per formula unit


Question: The highest magnetic moment belongs to which entry?
Answer: Ce8HgOs2